<1>
The following is a DFT calculation (GGA-PBE) of an optimized crystal structure of Pr2Ho4Er.

M_tot in μB per cell: 0.00

Cell lengths 6.8060, 6.8060, 6.8060 Å; angles 103.36, 103.36, 122.55 degrees
Fractional positions:
1 Ho 0.8016 0.8016 0.6032
2 Ho 0.8016 0.1984 0.9999
3 Ho 0.1984 0.1984 0.3968
4 Ho 0.1984 0.8016 0.0001
5 Pr 0.7500 0.2500 0.5000
6 Pr 0.2500 0.7500 0.5000
7 Er 0.5000 0.5000 0.0000

<2>
The following is a DFT calculation (GGA-PBE) of an optimized crystal structure of Pr2Ho4Er.

M_tot in μB per cell: 0.00

Cell lengths 8.4939, 9.6450, 6.7724 Å; angles 113.95, 102.69, 104.06 degrees
Fractional positions:
1 Pr 0.4624 0.3111 0.4594
2 Pr 0.0735 0.3314 0.5761
3 Pr 0.2181 0.7615 0.7194
4 Pr 0.3175 0.8817 0.3166
5 Ho 0.1723 0.4511 0.1695
6 Ho 0.7439 0.1659 0.7483
7 Ho 0.3629 0.1919 0.8667
8 Ho 0.6540 0.0477 0.1458
9 Ho 0.9313 0.9047 0.4358
10 Ho 0.8821 0.5952 0.8898
11 Ho 0.5098 0.6204 0.0092
12 Ho 0.6046 0.7379 0.5997
13 Er 0.0259 0.0224 0.0263
14 Er 0.7918 0.4770 0.2874

The structure with the most favorable energy is <2>; the runner-up is 248 meV per atom above it.

<1>
The following is a DFT calculation (GGA-PBE) of an optimized crystal structure of Pr7Ho3Er.

M_tot in μB per cell: 0.00

Cell lengths 5.9470, 8.6233, 8.6233 Å; angles 83.35, 110.21, 110.21 degrees
Fractional positions:
1 Pr 0.6915 0.9800 0.4027
2 Pr 0.2105 0.2091 0.2091
3 Pr 0.6915 0.4027 0.9800
4 Pr 0.3085 0.5973 0.0200
5 Pr 0.0000 0.5000 0.5000
6 Pr 0.7895 0.7909 0.7909
7 Pr 0.3085 0.0200 0.5973
8 Ho 0.0000 0.2047 0.7953
9 Ho 0.0000 0.7953 0.2047
10 Ho 0.5000 0.0000 0.0000
11 Er 0.5000 0.5000 0.5000

<2>
The following is a DFT calculation (GGA-PBE) of an optimized crystal structure of Pr7Ho3Er.

M_tot in μB per cell: 0.00

Cell lengths 10.0109, 10.0109, 11.4815 Å; angles 90.00, 90.00, 137.90 degrees
Fractional positions:
1 Er 0.5000 0.5000 0.0000
2 Er 0.5000 0.5000 0.5000
3 Pr 0.7465 0.7465 0.7500
4 Pr 0.1619 0.3366 0.7500
5 Pr 0.2535 0.2535 0.2500
6 Pr 0.5882 0.9121 0.9698
7 Pr 0.4118 0.0879 0.4698
8 Pr 0.9121 0.5882 0.5302
9 Pr 0.4118 0.0879 0.0302
10 Pr 0.0879 0.4118 0.4698
11 Pr 0.0879 0.4118 0.0302
12 Pr 0.9121 0.5882 0.9698
13 Pr 0.6634 0.8381 0.2500
14 Pr 0.3366 0.1619 0.7500
15 Pr 0.5882 0.9121 0.5302
16 Pr 0.8381 0.6634 0.2500
17 Ho 0.7501 0.2508 0.2500
18 Ho 0.2499 0.7492 0.7500
19 Ho 0.7492 0.2499 0.7500
20 Ho 0.2508 0.7501 0.2500
21 Ho 0.0000 0.0000 0.5000
22 Ho 0.0000 0.0000 0.0000

The structure with the most favorable energy is <2>; the runner-up is 90 meV per atom above it.

<1>
The following is a DFT calculation (GGA-PBE) of an optimized crystal structure of Pr12Ho6Er.

M_tot in μB per cell: 0.00

Cell lengths 9.3040, 9.3040, 9.3040 Å; angles 106.59, 106.59, 106.59 degrees
Fractional positions:
1 Pr 0.1294 0.8263 0.2774
2 Pr 0.8079 0.4163 0.5147
3 Pr 0.5147 0.8079 0.4163
4 Pr 0.4853 0.1921 0.5837
5 Pr 0.5837 0.4853 0.1921
6 Pr 0.1737 0.7226 0.8706
7 Pr 0.8263 0.2774 0.1294
8 Pr 0.8706 0.1737 0.7226
9 Pr 0.7226 0.8706 0.1737
10 Pr 0.1921 0.5837 0.4853
11 Pr 0.2774 0.1294 0.8263
12 Pr 0.4163 0.5147 0.8079
13 Ho 0.1910 0.4528 0.0792
14 Ho 0.0792 0.1910 0.4528
15 Ho 0.4528 0.0792 0.1910
16 Ho 0.8090 0.5472 0.9208
17 Ho 0.9208 0.8090 0.5472
18 Ho 0.5472 0.9208 0.8090
19 Er 0.0000 0.0000 0.0000

<2>
The following is a DFT calculation (GGA-PBE) of an optimized crystal structure of Pr12Ho6Er.

M_tot in μB per cell: 0.01

Cell lengths 8.7260, 8.7260, 8.7260 Å; angles 88.91, 88.91, 88.91 degrees
Fractional positions:
1 Ho 0.0997 0.7060 0.2586
2 Ho 0.7414 0.9003 0.2940
3 Ho 0.2586 0.0997 0.7060
4 Ho 0.9003 0.2940 0.7414
5 Ho 0.7060 0.2586 0.0997
6 Ho 0.2940 0.7414 0.9003
7 Pr 0.3637 0.0186 0.1918
8 Pr 0.8082 0.6363 0.9814
9 Pr 0.1918 0.3637 0.0186
10 Pr 0.6363 0.9814 0.8082
11 Pr 0.5359 0.4332 0.7827
12 Pr 0.7827 0.5359 0.4332
13 Pr 0.4641 0.5668 0.2173
14 Pr 0.0186 0.1918 0.3637
15 Pr 0.5668 0.2173 0.4641
16 Pr 0.2173 0.4641 0.5668
17 Pr 0.4332 0.7827 0.5359
18 Pr 0.9814 0.8082 0.6363
19 Er 0.0000 0.0000 0.0000

The structure with the most favorable energy is <2>; the runner-up is 108 meV per atom above it.

<1>
The following is a DFT calculation (GGA-PBE) of an optimized crystal structure of Pr3Ho2Er6.

M_tot in μB per cell: 0.00

Cell lengths 5.7070, 6.6928, 11.8577 Å; angles 78.19, 61.31, 64.76 degrees
Fractional positions:
1 Er 0.2853 0.0000 0.2137
2 Er 0.5437 0.3000 0.3054
3 Er 0.1562 0.3000 0.6946
4 Er 0.8438 0.7000 0.3054
5 Er 0.7147 0.0000 0.7863
6 Er 0.4563 0.7000 0.6946
7 Pr 0.0000 0.0000 0.0000
8 Pr 0.7060 0.5880 0.0000
9 Pr 0.2940 0.4120 0.0000
10 Ho 0.8680 0.2640 0.5000
11 Ho 0.1320 0.7360 0.5000

<2>
The following is a DFT calculation (GGA-PBE) of an optimized crystal structure of Pr3Ho2Er6.

M_tot in μB per cell: 0.00

Cell lengths 4.7485, 4.7485, 16.9346 Å; angles 98.06, 98.06, 90.00 degrees
Fractional positions:
1 Pr 0.7949 0.7949 0.5898
2 Pr 0.2051 0.2051 0.4102
3 Pr 0.0000 0.0000 0.0000
4 Er 0.3799 0.8799 0.7598
5 Er 0.8799 0.3799 0.7598
6 Er 0.3092 0.3092 0.6184
7 Er 0.1201 0.6201 0.2402
8 Er 0.6201 0.1201 0.2402
9 Er 0.6908 0.6908 0.3816
10 Ho 0.4536 0.4536 0.9073
11 Ho 0.5464 0.5464 0.0927

The structure with the most favorable energy is <1>; the runner-up is 110 meV per atom above it.

<1>
The following is a DFT calculation (GGA-PBE) of an optimized crystal structure of Pr3HoEr4.

M_tot in μB per cell: 0.00

Cell lengths 6.2923, 7.3233, 11.4683 Å; angles 90.00, 90.00, 90.00 degrees
Fractional positions:
1 Pr 0.4828 0.3726 0.7497
2 Pr 0.9828 0.6274 0.7503
3 Pr 0.6460 0.6285 0.0000
4 Pr 0.9828 0.6274 0.2497
5 Pr 0.4828 0.3726 0.2503
6 Pr 0.1460 0.3715 0.5000
7 Ho 0.6450 0.6316 0.5000
8 Ho 0.1450 0.3684 0.0000
9 Er 0.6485 0.1203 0.0000
10 Er 0.4814 0.8796 0.2522
11 Er 0.9814 0.1204 0.2478
12 Er 0.9814 0.1204 0.7522
13 Er 0.6474 0.1205 0.5000
14 Er 0.4814 0.8796 0.7478
15 Er 0.1474 0.8795 0.0000
16 Er 0.1485 0.8797 0.5000

<2>
The following is a DFT calculation (GGA-PBE) of an optimized crystal structure of Pr3HoEr4.

M_tot in μB per cell: 0.00

Cell lengths 3.4855, 8.9288, 8.9288 Å; angles 81.85, 78.74, 78.74 degrees
Fractional positions:
1 Pr 0.0000 0.5000 0.5000
2 Pr 0.7565 0.2435 0.2435
3 Pr 0.2435 0.7565 0.7565
4 Ho 0.5000 0.0000 0.0000
5 Er 0.3652 0.8900 0.3796
6 Er 0.3652 0.3796 0.8900
7 Er 0.6348 0.6204 0.1100
8 Er 0.6348 0.1100 0.6204

The structure with the most favorable energy is <1>; the runner-up is 112 meV per atom above it.

<1>
The following is a DFT calculation (GGA-PBE) of an optimized crystal structure of Pr6Ho2Er.

M_tot in μB per cell: 0.00

Cell lengths 6.2923, 10.1936, 10.1936 Å; angles 71.66, 84.91, 84.91 degrees
Fractional positions:
1 Pr 0.3198 0.7421 0.0220
2 Pr 0.1527 0.3548 0.0748
3 Pr 0.3473 0.9252 0.6452
4 Pr 0.6527 0.0748 0.3548
5 Pr 0.0138 0.5918 0.3114
6 Pr 0.8198 0.0220 0.7421
7 Pr 0.1802 0.9780 0.2579
8 Pr 0.5138 0.3114 0.5918
9 Pr 0.6802 0.2579 0.9780
10 Pr 0.4862 0.6886 0.4082
11 Pr 0.8473 0.6452 0.9252
12 Pr 0.9862 0.4082 0.6886
13 Er 0.2500 0.1012 0.8988
14 Er 0.7500 0.8988 0.1012
15 Ho 0.0830 0.2320 0.4344
16 Ho 0.4170 0.5656 0.7680
17 Ho 0.9170 0.7680 0.5656
18 Ho 0.5830 0.4344 0.2320

<2>
The following is a DFT calculation (GGA-PBE) of an optimized crystal structure of Pr6Ho2Er.

M_tot in μB per cell: 0.00

Cell lengths 3.6830, 10.0981, 10.0981 Å; angles 56.01, 90.00, 90.00 degrees
Fractional positions:
1 Pr 0.0000 0.8408 0.4906
2 Pr 0.0000 0.5094 0.1592
3 Pr 0.5000 0.3151 0.6849
4 Pr 0.0000 0.4906 0.8408
5 Pr 0.5000 0.6849 0.3151
6 Pr 0.0000 0.1592 0.5094
7 Er 0.0000 0.0000 0.0000
8 Ho 0.5000 0.1747 0.1747
9 Ho 0.5000 0.8253 0.8253

The structure with the most favorable energy is <1>; the runner-up is 47 meV per atom above it.

<1>
The following is a DFT calculation (GGA-PBE) of an optimized crystal structure of Pr7HoEr3.

M_tot in μB per cell: 0.00

Cell lengths 10.0001, 10.0001, 11.4753 Å; angles 90.00, 90.00, 137.91 degrees
Fractional positions:
1 Pr 0.3363 0.1610 0.7500
2 Pr 0.0876 0.4119 0.0305
3 Pr 0.9124 0.5881 0.5305
4 Pr 0.9124 0.5881 0.9695
5 Pr 0.4119 0.0876 0.0305
6 Pr 0.5881 0.9124 0.9695
7 Pr 0.6637 0.8390 0.2500
8 Pr 0.5881 0.9124 0.5305
9 Pr 0.7496 0.7496 0.7500
10 Pr 0.4119 0.0876 0.4695
11 Pr 0.1610 0.3363 0.7500
12 Pr 0.2504 0.2504 0.2500
13 Pr 0.0876 0.4119 0.4695
14 Pr 0.8390 0.6637 0.2500
15 Er 0.2502 0.7496 0.7500
16 Er 0.7498 0.2504 0.2500
17 Er 0.2504 0.7498 0.2500
18 Er 0.0000 0.0000 0.5000
19 Er 0.7496 0.2502 0.7500
20 Er 0.0000 0.0000 0.0000
21 Ho 0.5000 0.5000 0.5000
22 Ho 0.5000 0.5000 0.0000

<2>
The following is a DFT calculation (GGA-PBE) of an optimized crystal structure of Pr7HoEr3.

M_tot in μB per cell: 0.00

Cell lengths 5.9407, 8.6182, 8.6182 Å; angles 83.53, 110.22, 110.22 degrees
Fractional positions:
1 Pr 0.7899 0.7917 0.7917
2 Pr 0.0000 0.5000 0.5000
3 Pr 0.6913 0.4028 0.9796
4 Pr 0.3087 0.0204 0.5972
5 Pr 0.6913 0.9796 0.4028
6 Pr 0.2101 0.2083 0.2083
7 Pr 0.3087 0.5972 0.0204
8 Er 0.0000 0.7953 0.2047
9 Er 0.0000 0.2047 0.7953
10 Er 0.5000 0.0000 0.0000
11 Ho 0.5000 0.5000 0.5000

The structure with the most favorable energy is <1>; the runner-up is 89 meV per atom above it.

<1>
The following is a DFT calculation (GGA-PBE) of an optimized crystal structure of PrHo3Er2.

M_tot in μB per cell: 0.00

Cell lengths 7.0986, 6.1418, 9.3923 Å; angles 89.83, 112.20, 90.00 degrees
Fractional positions:
1 Ho 0.6234 0.2500 0.0000
2 Ho 0.3766 0.7500 0.0000
3 Ho 0.0429 0.0852 0.3371
4 Ho 0.9571 0.9148 0.6629
5 Ho 0.2943 0.5852 0.3371
6 Ho 0.7057 0.4148 0.6629
7 Er 0.5434 0.0826 0.3354
8 Er 0.2081 0.4174 0.6646
9 Er 0.7919 0.5826 0.3354
10 Er 0.4566 0.9174 0.6646
11 Pr 0.1261 0.2500 0.0000
12 Pr 0.8739 0.7500 0.0000

<2>
The following is a DFT calculation (GGA-PBE) of an optimized crystal structure of PrHo3Er2.

M_tot in μB per cell: 0.00

Cell lengths 7.1483, 10.1534, 7.1390 Å; angles 79.99, 119.83, 121.80 degrees
Fractional positions:
1 Er 0.3027 0.6644 0.8609
2 Er 0.3023 0.6632 0.3600
3 Er 0.6977 0.3368 0.6400
4 Er 0.6973 0.3356 0.1391
5 Pr 0.7491 0.9994 0.7498
6 Pr 0.2509 0.0006 0.2502
7 Ho 0.1974 0.3369 0.1397
8 Ho 0.8026 0.6631 0.8603
9 Ho 0.2503 0.0003 0.7502
10 Ho 0.1967 0.3356 0.6389
11 Ho 0.7497 0.9997 0.2498
12 Ho 0.8033 0.6644 0.3611

The structure with the most favorable energy is <2>; the runner-up is 24 meV per atom above it.